1.
Density functional theory data (PBE-GGA) for a relaxed PmHfTcIr crystal.

The structure belongs to space group F-43m (No. 216); the cell edges are 6.755, 6.755 and 6.755 Å and the angles 90.00°, 90.00° and 90.00°. The distinct sites, in fractional coordinates, are Pm at (0.000, 0.000, 0.000), Hf at (0.000, 0.000, 0.500), Tc at (0.250, 0.250, 0.250) and Ir at (0.250, 0.250, 0.750).

The volume is 308.27 Å³ per cell. The formation energy comes out at -0.389 eV per atom.

---

2.
Density functional theory data (PBE-GGA) for a relaxed Y3ErZn crystal.

The structure belongs to space group C2/m (No. 12); the cell edges are 29.038, 3.631 and 5.376 Å and the angles 90.00°, 90.11° and 90.00°. The distinct sites, in fractional coordinates, are Y at (0.045, 0.000, 0.246), Y at (0.124, 0.000, 0.748), Y at (0.159, 0.500, 0.249), Er at (0.232, 0.500, 0.750) and Zn at (0.040, 0.500, 0.742).

The volume is 566.82 Å³ per cell. As for the energy above the lowest structure with this stoichiometry: 0 meV/atom. The formation energy comes out at -0.132 eV per atom.

---

3.
Density functional theory data (PBE-GGA) for a relaxed BeSnP crystal.

The structure belongs to space group Pnma (No. 62); the cell edges are 10.154, 3.609 and 6.276 Å and the angles 90.00°, 90.00° and 90.00°. The distinct sites, in fractional coordinates, are Be at (0.250, 0.250, 0.006), Sn at (0.000, 0.250, 0.250) and P at (0.250, 0.250, 0.675).

The volume is 229.99 Å³ per cell. As for the energy above the lowest structure with this stoichiometry: 52 meV/atom. The formation energy comes out at 0.003 eV per atom.

---

Number 1: total magnetization 0.000 μB per formula unit. Number 2: total magnetization 0.000 μB per formula unit. Number 3: total magnetization 0.000 μB per formula unit.